[1]
Computed, not measured: a relaxed Sc2SnAu2 crystal at the GGA-PBE level of DFT.

Values from the calculation:
Total magnetic moment   0.00 μB per atom
Energy above the most stable polymorph in this dataset   4.93 kcal/mol of atoms
Total energy   -5.198 eV per atom
Space-group type   P4/mbm

extended XYZ file:
```
10
Lattice="7.9107 0.0000 0.0000 0.0000 7.9107 0.0000 0.0000 0.0000 3.4615" Properties=species:S:1:pos:R:3 pbc="T T T"
Sc 1.2465 2.7089 0.0000
Sc 2.7089 6.6642 0.0000
Sc 5.2018 1.2465 0.0000
Sc 6.6642 5.2018 0.0000
Sn 0.0000 0.0000 0.0000
Sn 3.9553 3.9553 0.0000
Au 1.0602 5.0155 1.7308
Au 2.8952 1.0602 1.7308
Au 5.0155 6.8505 1.7308
Au 6.8505 2.8952 1.7308
```

[2]
Computed, not measured: a relaxed Sc5Sn4Au crystal at the GGA-PBE level of DFT.

Values from the calculation:
Total magnetic moment   0.00 μB per atom
Total energy   -5.527 eV per atom
Space-group type   I4

extended XYZ file:
```
10
Lattice="-4.5246 4.5246 2.9628 4.5246 -4.5246 2.9628 4.5246 4.5246 -2.9628" Properties=species:S:1:pos:R:3 pbc="T T T"
Sc 0.0000 0.0000 0.0000
Sc 6.3208 -0.7796 1.7507
Sc 2.7285 0.7796 1.7507
Sc -0.7796 2.7285 1.7507
Sc 0.7796 6.3208 1.7507
Sn 3.6621 -2.0228 1.7153
Sn 5.3872 2.0228 1.7153
Sn 2.0228 3.6621 1.7153
Sn -2.0228 5.3872 1.7153
Au 0.0000 0.0000 2.8194
```

[3]
Computed, not measured: a relaxed ScSn2Au2 crystal at the GGA-PBE level of DFT.

Values from the calculation:
Total magnetic moment   0.00 μB per atom
Energy above the most stable polymorph in this dataset   2.64 kcal/mol of atoms
Total energy   -4.387 eV per atom
Space-group type   I4/mmm

extended XYZ file:
```
5
Lattice="-2.1407 2.1407 6.3749 2.1407 -2.1407 6.3749 2.1407 2.1407 -6.3749" Properties=species:S:1:pos:R:3 pbc="T T T"
Sc 0.0000 0.0000 0.0000
Sn 2.1407 0.0000 3.1874
Sn 0.0000 2.1407 3.1874
Au 0.0000 0.0000 5.0631
Au 0.0000 0.0000 7.6866
```

[4]
Computed, not measured: a relaxed Sc2SnAu2 crystal at the GGA-PBE level of DFT.

Values from the calculation:
Total magnetic moment   0.01 μB per atom
Energy above the most stable polymorph in this dataset   8.66 kcal/mol of atoms
Total energy   -5.036 eV per atom
Space-group type   I4/mmm

extended XYZ file:
```
5
Lattice="-1.9121 1.9121 7.7472 1.9121 -1.9121 7.7472 1.9121 1.9121 -7.7472" Properties=species:S:1:pos:R:3 pbc="T T T"
Sc 0.0000 0.0000 1.6573
Sc 0.0000 0.0000 13.8371
Sn 0.0000 0.0000 7.7472
Au 1.9121 0.0000 3.8736
Au 0.0000 1.9121 3.8736
```

| no. | ΔH_f (0 K) (eV per atom) |
| --- | --- |
| 1 | -0.5534 |
| 2 | -0.4324 |
| 3 | -0.2089 |
| 4 | -0.3917 |